Entry from Alexandria: crystalline NaBeCrO3 at its relaxed geometry (PBE with a Hubbard U).

The structure in CIF format:
```
data_NaBeCrO3
_space_group_name_H-M_alt 'P 1 21/m 1'
_space_group_IT_number 11
_space_group_name_Hall '-P 2yb'
_cell_length_a 6.458
_cell_length_b 3.001
_cell_length_c 7.215
_cell_angle_alpha 90.00
_cell_angle_beta 106.47
_cell_angle_gamma 90.00
loop_
_atom_site_label
_atom_site_type_symbol
_atom_site_fract_x
_atom_site_fract_y
_atom_site_fract_z
Na1 Na 0.193 0.250 0.198
Be1 Be 0.080 0.250 0.604
Cr1 Cr 0.335 0.750 0.851
O1 O 0.117 0.250 0.832
O2 O 0.168 0.750 0.548
O3 O 0.452 0.750 0.138
```

Calculated values
Calculated volume   67.1 Å³/f.u.
Total energy   -79.96 eV for the cell shown